VASP calculation (GGA-PBE) on a relaxed TbTc3P3 crystal.

abc: 7.6644 7.6644 7.6644
angles: 51.62 51.62 51.62
Last column: nearest neighbours and their distance in Å.
Positions (direct):
Tb 0.1656 0.1656 0.1656  6 P 2.91-3.05, 3 Tc 3.16
Tb 0.8344 0.8344 0.8344  6 P 2.91-3.05, 3 Tc 3.16
Tc 0.0032 0.3999 0.7324  4 P 2.31-2.39
Tc 0.2676 0.9968 0.6001  4 P 2.31-2.39
Tc 0.3999 0.7324 0.0032  4 P 2.31-2.39
Tc 0.6001 0.2676 0.9968  4 P 2.31-2.39
Tc 0.7324 0.0032 0.3999  4 P 2.31-2.39
Tc 0.9968 0.6001 0.2676  4 P 2.31-2.39
P 0.1209 0.7115 0.3930  4 Tc 2.31-2.39
P 0.2885 0.6070 0.8791  4 Tc 2.31-2.39
P 0.3930 0.1209 0.7115  4 Tc 2.31-2.39
P 0.6070 0.8791 0.2885  4 Tc 2.31-2.39
P 0.7115 0.3930 0.1209  4 Tc 2.31-2.39
P 0.8791 0.2885 0.6070  4 Tc 2.31-2.39

Summary:
Space-group type: R-3 (148)
Formation energy from the elements, eV per atom: -0.649
Polymorph energy (0 for the lowest one), eV per formula unit: 0.000

VASP calculation (GGA-PBE) on a relaxed TbTc5P3 crystal.

abc: 6.6600 6.6600 11.4952
angles: 90.00 90.00 145.26
Last column: nearest neighbours and their distance in Å.
Positions (direct):
Tb 0.1751 0.8249 0.7500  6 P 3.09-3.19, 4 Tc 3.37
Tb 0.8249 0.1751 0.2500  6 P 3.09-3.19, 4 Tc 3.37
Tc 0.0000 0.0000 0.0000  6 Tc 2.57-2.66, 4 P 2.63
Tc 0.0000 0.0000 0.5000  6 Tc 2.57-2.66, 4 P 2.63
Tc 0.1937 0.8063 0.0631  4 P 2.29-2.53
Tc 0.1937 0.8063 0.4369  4 P 2.29-2.53
Tc 0.4588 0.5412 0.6464  3 Tc 2.38-2.66, 4 P 2.40-2.57
Tc 0.4588 0.5412 0.8536  3 Tc 2.38-2.66, 4 P 2.40-2.57
Tc 0.5412 0.4588 0.1464  3 Tc 2.38-2.66, 4 P 2.40-2.57
Tc 0.5412 0.4588 0.3536  3 Tc 2.38-2.66, 4 P 2.40-2.57
Tc 0.8063 0.1937 0.5631  4 P 2.29-2.53
Tc 0.8063 0.1937 0.9369  4 P 2.29-2.53
P 0.1289 0.8711 0.2500  6 Tc 2.30-2.57
P 0.3735 0.6265 0.0515  5 Tc 2.29-2.53
P 0.3735 0.6265 0.4485  5 Tc 2.29-2.53
P 0.6265 0.3735 0.5515  5 Tc 2.29-2.53
P 0.6265 0.3735 0.9485  5 Tc 2.29-2.53
P 0.8711 0.1289 0.7500  6 Tc 2.30-2.57

Summary:
Space-group type: Cmcm (63)
Formation energy from the elements, eV per atom: -0.447

VASP calculation (GGA-PBE) on a relaxed TbTc3P3 crystal.

abc: 6.4393 6.4393 6.4393
angles: 90.00 90.00 90.00
Last column: nearest neighbours and their distance in Å.
Positions (direct):
Tb 0.0000 0.0000 0.0000  12 Tc 3.60, 12 P 3.60
Tb 0.5000 0.5000 0.5000  12 Tc 3.60, 12 P 3.60
Tc 0.0000 0.2500 0.5000  4 P 2.28
Tc 0.0000 0.7500 0.5000  4 P 2.28
Tc 0.2500 0.5000 0.0000  4 P 2.28
Tc 0.5000 0.0000 0.2500  4 P 2.28
Tc 0.5000 0.0000 0.7500  4 P 2.28
Tc 0.7500 0.5000 0.0000  4 P 2.28
P 0.0000 0.5000 0.2500  4 Tc 2.28
P 0.0000 0.5000 0.7500  4 Tc 2.28
P 0.2500 0.0000 0.5000  4 Tc 2.28
P 0.5000 0.2500 0.0000  4 Tc 2.28
P 0.5000 0.7500 0.0000  4 Tc 2.28
P 0.7500 0.0000 0.5000  4 Tc 2.28

Summary:
Space-group type: Pm-3n (223)
Formation energy from the elements, eV per atom: -0.253
Polymorph energy (0 for the lowest one), eV per formula unit: 2.775

VASP calculation (GGA-PBE) on a relaxed Tb2TcP crystal.

abc: 8.9390 8.9390 8.9390
angles: 23.66 23.66 23.66
Last column: nearest neighbours and their distance in Å.
Positions (direct):
Tb 0.1007 0.1007 0.1007  1 Tc 2.62, 3 P 2.73
Tb 0.8993 0.8993 0.8993  1 Tc 2.62, 3 P 2.73
Tc 0.0000 0.0000 0.0000  2 Tb 2.62
P 0.5000 0.5000 0.5000  6 Tb 2.73

Summary:
Space-group type: R-3m (166)
Formation energy from the elements, eV per atom: 0.144

VASP calculation (GGA-PBE) on a relaxed TbTeP crystal.

abc: 9.6041 9.6041 9.6041
angles: 153.83 153.56 37.55
Last column: nearest neighbours and their distance in Å.
Positions (direct):
Tb 0.1423 0.1423 0.0000  2 P 2.81
Tb 0.8577 0.8577 0.0000  2 P 2.81
Te 0.3221 0.3221 0.0000  5 Tb 3.16-3.27
Te 0.6779 0.6779 0.0000  5 Tb 3.16-3.27
P 0.2521 0.0000 0.2521  2 P 2.18-2.21
P 0.7479 0.0000 0.7479  2 P 2.18-2.21

Summary:
Space-group type: Immm (71)
Formation energy (no corrections), eV per atom: -0.902

VASP calculation (GGA-PBE) on a relaxed TbTe2P crystal.

abc: 9.5037 9.5037 9.5037
angles: 23.92 23.92 23.92
Last column: nearest neighbours and their distance in Å.
Positions (direct):
Tb 0.0000 0.0000 0.0000  2 Te 3.02
Te 0.1091 0.1091 0.1091  3 P 2.78, 1 Tb 3.02
Te 0.8909 0.8909 0.8909  3 P 2.78, 1 Tb 3.02
P 0.5000 0.5000 0.5000  6 Te 2.78

Summary:
Space-group type: R-3m (166)
Formation energy (no corrections), eV per atom: 0.048

VASP calculation (GGA-PBE) on a relaxed Tb2TeP crystal.

abc: 7.6429 7.6429 7.6429
angles: 31.04 31.04 31.04
Last column: nearest neighbours and their distance in Å.
Positions (direct):
Tb 0.0000 0.0000 0.0000  3 P 2.79
Tb 0.1938 0.1938 0.1938  3 P 2.83
Te 0.4297 0.4297 0.4297  6 Tb 3.16-3.18
P 0.5987 0.5987 0.5987  6 Tb 2.79-2.83

Summary:
Space-group type: R3m (160)
Polymorph energy (0 for the lowest one), eV per formula unit: 0.122
Formation energy (no corrections), eV per atom: -1.537

VASP calculation (GGA-PBE) on a relaxed Tb6TeP5 crystal.

abc: 7.0770 7.0770 7.0798
angles: 99.64 99.64 119.89
Last column: nearest neighbours and their distance in Å.
Positions (direct):
Tb 0.0608 0.4130 0.7403  5 P 2.78-2.92, 1 Te 3.04
Tb 0.2349 0.2349 0.2594  5 P 2.75-2.88, 1 Te 3.04
Tb 0.4130 0.0608 0.7403  5 P 2.78-2.92, 1 Te 3.04
Tb 0.5870 0.9392 0.2597  5 P 2.78-2.92, 1 Te 3.04
Tb 0.7651 0.7651 0.7406  5 P 2.75-2.88, 1 Te 3.04
Tb 0.9392 0.5870 0.2597  5 P 2.78-2.92, 1 Te 3.04
Te 0.5000 0.5000 0.0000  6 Tb 3.04
P 0.0000 0.0000 0.5000  6 Tb 2.75-2.91
P 0.1673 0.8327 0.0000  6 Tb 2.87-2.88
P 0.3382 0.6618 0.5000  6 Tb 2.78-2.92
P 0.6618 0.3382 0.5000  6 Tb 2.78-2.92
P 0.8327 0.1673 0.0000  6 Tb 2.87-2.88

Summary:
Space-group type: C2/m (12)
Formation energy (no corrections), eV per atom: -1.596

VASP calculation (GGA-PBE) on a relaxed TbTeP crystal.

abc: 5.9087 5.9087 5.9087
angles: 141.58 141.58 55.46
Last column: nearest neighbours and their distance in Å.
Positions (direct):
Tb 0.0000 0.0000 0.0000  4 P 2.85
Te 0.3243 0.3243 0.0000  1 P 2.60
P 0.5731 0.5731 0.0000  1 Te 2.60, 4 Tb 2.85

Summary:
Space-group type: I4mm (107)
Formation energy (no corrections), eV per atom: -0.873

VASP calculation (GGA-PBE) on a relaxed TbTeP crystal.

abc: 4.1121 3.9634 9.0353
angles: 90.00 93.11 90.00
Last column: nearest neighbours and their distance in Å.
Positions (direct):
Tb 0.2230 0.2500 0.2426  4 P 2.84-3.08, 4 Te 3.08-3.10
Tb 0.7770 0.7500 0.7574  4 P 2.84-3.08, 4 Te 3.08-3.10
Te 0.2580 0.2500 0.6268  4 Tb 3.08-3.10
Te 0.7420 0.7500 0.3732  4 Tb 3.08-3.10
P 0.3377 0.7500 0.9898  2 P 2.39
P 0.6623 0.2500 0.0102  2 P 2.39

Summary:
Space-group type: P2_1/m (11)
Formation energy (no corrections), eV per atom: -1.103

VASP calculation (GGA-PBE) on a relaxed Tb5TeP4 crystal.

abc: 7.1022 7.1022 10.0814
angles: 118.30 118.30 33.38
Last column: nearest neighbours and their distance in Å.
Positions (direct):
Tb 0.0000 0.0000 0.0000  6 P 2.88-2.90
Tb 0.2074 0.2074 0.8175  5 P 2.79-2.88, 1 Te 3.04
Tb 0.3893 0.3893 0.6140  4 P 2.78-2.94, 2 Te 3.08
Tb 0.6107 0.6107 0.3860  4 P 2.78-2.94, 2 Te 3.08
Tb 0.7926 0.7926 0.1825  5 P 2.79-2.88, 1 Te 3.04
Te 0.0000 0.0000 0.5000  6 Tb 3.04-3.08
P 0.2041 0.2041 0.2963  6 Tb 2.78-2.94
P 0.4034 0.4034 0.1031  6 Tb 2.79-2.88
P 0.5966 0.5966 0.8969  6 Tb 2.79-2.88
P 0.7959 0.7959 0.7037  6 Tb 2.78-2.94

Summary:
Space-group type: C2/m (12)
Formation energy (no corrections), eV per atom: -1.596

VASP calculation (GGA-PBE) on a relaxed Tb2TeP crystal.

abc: 7.4918 7.4918 7.4918
angles: 32.00 32.00 32.00
Last column: nearest neighbours and their distance in Å.
Positions (direct):
Tb 0.2368 0.2368 0.2368  3 P 2.81, 3 Te 3.15
Tb 0.7632 0.7632 0.7632  3 P 2.81, 3 Te 3.15
Te 0.0000 0.0000 0.0000  6 Tb 3.15
P 0.5000 0.5000 0.5000  6 Tb 2.81

Summary:
Space-group type: R-3m (166)
Polymorph energy (0 for the lowest one), eV per formula unit: 0.000
Formation energy (no corrections), eV per atom: -1.567

| no. | V (Å³ per cell) | final energy (eV/atom) |
| --- | --- | --- |
| 1 | 256 | -8.07 |
| 2 | 291 | -8.52 |
| 3 | 267 | -7.68 |
| 4 | 101 | -6.12 |
| 5 | 174 | -5.30 |
| 6 | 124 | -4.03 |
| 7 | 105 | -5.99 |
| 8 | 290 | -6.43 |
| 9 | 79 | -5.27 |
| 10 | 147 | -5.50 |
| 11 | 243 | -6.39 |
| 12 | 105 | -6.02 |